VASP calculation (PBE) on crystalline SbRh at its relaxed geometry.

a b c (Å): 5.893 5.893 5.893
angles (deg): 90.00 90.00 90.00
Space group F-43m (No. 216)
Symmetry-distinct sites (fractional):
1 Sb 0.000 0.000 0.000 x4
2 Rh 0.250 0.250 0.250 x4

N(E_F) ... 0.36 states/eV/atom
Spin magnetization ... 0.00 Bohr magnetons per cell
Calculated total energy ... -0.4247 Ry per atom

***

VASP calculation (PBE) on crystalline SbRh3 at its relaxed geometry.

a b c (Å): 5.551 7.561 2.999
angles (deg): 90.00 90.00 90.00
Space group Cmmm (No. 65)
Symmetry-distinct sites (fractional):
1 Sb 0.000 0.000 0.000 x2
2 Rh 0.000 0.500 0.000 x2
3 Rh 0.250 0.250 0.500 x4

N(E_F) ... 1.14 states/eV/atom
Spin magnetization ... 0.00 Bohr magnetons per cell
Calculated total energy ... -0.4904 Ry per atom

***

Which value of spin magnetization does entry 2 give?
0.00 Bohr magnetons per cell

***

What is the N(E_F) in the second record?
1.14 states/eV/atom

***

Look up the calculated total energy of the second one.
-0.4904 Ry per atom

***

Repeat the first record exactly.
VASP calculation (PBE) on crystalline SbRh at its relaxed geometry.

a b c (Å): 5.893 5.893 5.893
angles (deg): 90.00 90.00 90.00
Space group F-43m (No. 216)
Symmetry-distinct sites (fractional):
1 Sb 0.000 0.000 0.000 x4
2 Rh 0.250 0.250 0.250 x4

N(E_F) ... 0.36 states/eV/atom
Spin magnetization ... 0.00 Bohr magnetons per cell
Calculated total energy ... -0.4247 Ry per atom